(1)
{
  "formula": "CaLaIrW2",
  "functional": "PBE-GGA",
  "state": "relaxed",
  "lattice": [[4.7557, 0.0000, 0.0000], [0.0000, 4.7557, 0.0000], [0.0000, 0.0000, 5.0442]],
  "species": ["Ca", "Ir", "W", "W", "La"],
  "frac_coords": [[0.0000, 0.0000, 0.0000], [0.0000, 0.0000, 0.5000], [0.0000, 0.5000, 0.0000], [0.5000, 0.0000, 0.0000], [0.5000, 0.5000, 0.5000]],
  "total_energy_ry_per_atom": -0.4568,
  "formation_enthalpy_0k_mev_per_atom": 2125,
  "sg": "P4/mmm",
  "dos_ef_per_ev_fu": 6.4
}



(2)
{
  "formula": "CaLaY2Ir",
  "functional": "PBE-GGA",
  "state": "relaxed",
  "lattice": [[-3.1226, 4.5571, -0.7045], [-4.6108, -3.0748, 0.5474], [0.0592, 0.8938, 5.5195]],
  "species": ["Y", "Y", "Ca", "Ir", "La"],
  "frac_coords": [[0.0000, 0.5000, 0.0000], [0.5000, 0.0000, 0.0000], [0.5000, 0.5000, 0.5000], [0.0000, 0.0000, 0.0000], [0.0000, 0.0000, 0.5000]],
  "total_energy_ry_per_atom": -0.4470,
  "formation_enthalpy_0k_mev_per_atom": -338,
  "sg": "P4/mmm",
  "dos_ef_per_ev_fu": 5.8
}



(3)
{
  "formula": "CaLaY2Ir",
  "functional": "PBE-GGA",
  "state": "relaxed",
  "lattice": [[5.4370, 0.0000, 0.0000], [0.0000, 5.4370, 0.0000], [0.0000, 0.0000, 5.6720]],
  "species": ["Y", "Y", "Ca", "Ir", "La"],
  "frac_coords": [[0.0000, 0.5000, 0.0000], [0.5000, 0.0000, 0.0000], [0.0000, 0.0000, 0.5000], [0.0000, 0.0000, 0.0000], [0.5000, 0.5000, 0.5000]],
  "total_energy_ry_per_atom": -0.4392,
  "formation_enthalpy_0k_mev_per_atom": -232,
  "sg": "P4/mmm",
  "dos_ef_per_ev_fu": 5.7
}



(4)
{
  "formula": "Ca2LaZnIr",
  "functional": "PBE-GGA",
  "state": "relaxed",
  "lattice": [[-4.5311, -2.8344, -1.5500], [1.4775, -4.1926, 3.3476], [-2.8126, 2.2656, 4.0789]],
  "species": ["Zn", "Ir", "Ca", "Ca", "La"],
  "frac_coords": [[0.5000, 0.5000, 0.5000], [0.0000, 0.0000, 0.0000], [0.0000, 0.5000, 0.0000], [0.5000, 0.0000, 0.0000], [0.0000, 0.0000, 0.5000]],
  "total_energy_ry_per_atom": -0.2964,
  "formation_enthalpy_0k_mev_per_atom": -219,
  "sg": "P4/mmm",
  "dos_ef_per_ev_fu": 3.4
}



(5)
{
  "formula": "CaLaZnIr",
  "functional": "PBE-GGA",
  "state": "relaxed",
  "lattice": [[-1.2850, 0.9545, 4.8171], [-3.6045, -2.7677, 2.2614], [1.2474, -3.2896, 3.6591]],
  "species": ["Zn", "Ir", "Ca", "La"],
  "frac_coords": [[0.0000, 0.0000, 0.0000], [0.5000, 0.5000, 0.5000], [0.2500, 0.2500, 0.2500], [0.7500, 0.7500, 0.7500]],
  "total_energy_ry_per_atom": -0.3419,
  "formation_enthalpy_0k_mev_per_atom": -385,
  "sg": "F-43m",
  "dos_ef_per_ev_fu": 3.8
}



(6)
{
  "formula": "CaLaZnIr",
  "functional": "PBE-GGA",
  "state": "relaxed",
  "lattice": [[4.1837, 0.0000, 0.0000], [0.0000, 4.1643, 0.0000], [-2.0919, 0.0000, 5.7215]],
  "species": ["Ca", "La", "Zn", "Ir"],
  "frac_coords": [[0.1446, 0.0000, 0.2891], [0.8643, 0.5000, 0.7287], [0.5666, 0.5000, 0.1332], [0.4245, 0.0000, 0.8491]],
  "total_energy_ry_per_atom": -0.3503,
  "formation_enthalpy_0k_mev_per_atom": -500,
  "sg": "Amm2",
  "dos_ef_per_ev_fu": 3.0
}



(7)
{
  "formula": "Li2Ca8Ir",
  "functional": "PBE-GGA",
  "state": "relaxed",
  "lattice": [[-3.3587, -0.5757, -3.2836], [-1.8493, -6.8946, 3.1004], [-5.1304, 5.3357, 7.7224]],
  "species": ["Li", "Li", "Ca", "Ca", "Ca", "Ca", "Ca", "Ca", "Ca", "Ca", "Ir"],
  "frac_coords": [[0.1832, 0.7741, 0.3663], [0.8168, 0.2259, 0.6337], [0.5964, 0.5314, 0.1928], [0.3698, 0.9746, 0.7395], [0.2177, 0.3299, 0.4354], [0.9962, 0.7848, 0.9923], [0.7823, 0.6701, 0.5646], [0.6302, 0.0254, 0.2605], [0.4036, 0.4686, 0.8072], [0.0038, 0.2152, 0.0077], [0.5000, 0.0000, 0.0000]],
  "total_energy_ry_per_atom": -0.1943,
  "formation_enthalpy_0k_mev_per_atom": -35,
  "sg": "C2/m",
  "dos_ef_per_ev_fu": 8.4
}



(8)
{
  "formula": "LiCaIr",
  "functional": "PBE-GGA",
  "state": "relaxed",
  "lattice": [[-3.7356, 1.0390, 2.3002], [-0.2200, -0.7374, -4.4422], [-0.5215, -3.0545, 0.5329]],
  "species": ["Ca", "Ir", "Li"],
  "frac_coords": [[0.0000, 0.0000, 0.9998], [0.6667, 0.3333, 0.4986], [0.3333, 0.6667, 0.5016]],
  "total_energy_ry_per_atom": -0.3206,
  "formation_enthalpy_0k_mev_per_atom": -103,
  "sg": "P3m1",
  "dos_ef_per_ev_fu": 2.2
}



(9)
{
  "formula": "Li2CaIr",
  "functional": "PBE-GGA",
  "state": "relaxed",
  "lattice": [[-0.5770, -1.4893, 2.9087], [0.1571, -2.9630, -1.4859], [7.0707, -0.2614, 1.2688]],
  "species": ["Ca", "Ir", "Li", "Li"],
  "frac_coords": [[0.0000, 0.0000, 0.5643], [0.5000, 0.5000, 0.8046], [0.0000, 0.0000, 0.9619], [0.5000, 0.5000, 0.1692]],
  "total_energy_ry_per_atom": -0.2750,
  "formation_enthalpy_0k_mev_per_atom": -69,
  "sg": "P4mm",
  "dos_ef_per_ev_fu": 1.4
}



(10)
{
  "formula": "LiCaIr3",
  "functional": "PBE-GGA",
  "state": "relaxed",
  "lattice": [[-4.2976, 0.9468, 2.0304], [1.9458, -0.5994, 4.3981], [1.1103, 4.7152, 0.1514]],
  "species": ["Ca", "Ir", "Ir", "Ir", "Li"],
  "frac_coords": [[0.0000, 0.0000, 0.0000], [0.0000, 0.5000, 0.0000], [0.0000, 0.0000, 0.5000], [0.5000, 0.0000, 0.0000], [0.5000, 0.5000, 0.5000]],
  "total_energy_ry_per_atom": -0.2966,
  "formation_enthalpy_0k_mev_per_atom": 2065,
  "sg": "Pm-3m",
  "dos_ef_per_ev_fu": 7.7
}



(11)
{
  "formula": "Li2CaIr",
  "functional": "PBE-GGA",
  "state": "relaxed",
  "lattice": [[-2.7342, 0.6277, 3.7762], [-1.0607, -2.8412, -0.2958], [3.5803, -2.2044, 2.9588]],
  "species": ["Ca", "Ir", "Li", "Li"],
  "frac_coords": [[0.5000, 0.2500, 0.2500], [0.5000, 0.7500, 0.7500], [0.0000, 0.9761, 0.9393], [0.0000, 0.5239, 0.5607]],
  "total_energy_ry_per_atom": -0.2713,
  "formation_enthalpy_0k_mev_per_atom": -18,
  "sg": "P2/m",
  "dos_ef_per_ev_fu": 2.9
}



(12)
{
  "formula": "Li2CaIr",
  "functional": "PBE-GGA",
  "state": "relaxed",
  "lattice": [[4.3571, -0.0138, 0.0162], [2.1875, 3.7683, 0.0162], [2.1743, 1.2473, 4.7015]],
  "species": ["Ca", "Ir", "Li", "Li"],
  "frac_coords": [[0.5061, 0.5061, 0.4809], [0.2955, 0.2955, 0.1140], [0.9924, 0.9924, 0.0233], [0.7061, 0.7061, 0.8818]],
  "total_energy_ry_per_atom": -0.2752,
  "formation_enthalpy_0k_mev_per_atom": -72,
  "sg": "Cm",
  "dos_ef_per_ev_fu": 2.2
}



(13)
{
  "formula": "Li5Ca2Ir5",
  "functional": "PBE-GGA",
  "state": "relaxed",
  "lattice": [[-1.7877, -2.0603, -3.2980], [-0.8304, -3.9949, 2.9458], [-8.3404, 3.4692, 2.3538]],
  "species": ["Li", "Li", "Li", "Li", "Li", "Ca", "Ca", "Ir", "Ir", "Ir", "Ir", "Ir"],
  "frac_coords": [[0.0000, 0.5000, 0.3333], [0.0000, 0.0000, 0.8173], [0.0000, 0.0000, 0.1827], [0.0000, 0.5000, 0.6667], [0.5000, 0.0000, 0.0000], [0.0000, 0.5000, 0.0000], [0.0000, 0.0000, 0.5000], [0.5000, 0.5000, 0.5000], [0.5000, 0.7533, 0.2518], [0.5000, 0.2467, 0.7482], [0.5000, 0.2467, 0.2518], [0.5000, 0.7533, 0.7482]],
  "total_energy_ry_per_atom": -0.3688,
  "formation_enthalpy_0k_mev_per_atom": -194,
  "sg": "Pmmm",
  "dos_ef_per_ev_fu": 6.9
}



(14)
{
  "formula": "Li2CaIr",
  "functional": "PBE-GGA",
  "state": "relaxed",
  "lattice": [[-9.9126, -2.6136, 0.9256], [-8.7467, -5.3361, 0.9844], [-8.9319, -3.7500, 3.4794]],
  "species": ["Ca", "Ir", "Li", "Li"],
  "frac_coords": [[0.2500, 0.2500, 0.2500], [0.7500, 0.7500, 0.7500], [0.0175, 0.0175, 0.0175], [0.4825, 0.4825, 0.4825]],
  "total_energy_ry_per_atom": -0.2432,
  "formation_enthalpy_0k_mev_per_atom": 363,
  "sg": "R-3m",
  "dos_ef_per_ev_fu": 3.9
}



(15)
{
  "formula": "Li2CaIr",
  "functional": "PBE-GGA",
  "state": "relaxed",
  "lattice": [[-3.8079, 0.4929, 1.4420], [1.2426, -1.2424, 3.7060], [0.7622, 8.6134, 4.9017]],
  "species": ["Ca", "Ca", "Ir", "Ir", "Li", "Li", "Li", "Li"],
  "frac_coords": [[0.5000, 0.5000, 0.0000], [0.2500, 0.7500, 0.5000], [0.0000, 0.0000, 0.0000], [0.7500, 0.2500, 0.5000], [0.7088, 0.1250, 0.2500], [0.0412, 0.6250, 0.2500], [0.3750, 0.2912, 0.7500], [0.8750, 0.9588, 0.7500]],
  "total_energy_ry_per_atom": -0.2611,
  "formation_enthalpy_0k_mev_per_atom": 120,
  "sg": "I-42d",
  "dos_ef_per_ev_fu": 2.3
}



(16)
{
  "formula": "LiCa4Ir",
  "functional": "PBE-GGA",
  "state": "relaxed",
  "lattice": [[0.0000, 4.4476, 4.4476], [4.4476, 0.0000, 4.4476], [4.4476, 4.4476, 0.0000]],
  "species": ["Li", "Ca", "Ca", "Ca", "Ca", "Ir"],
  "frac_coords": [[0.0000, 0.0000, 0.0000], [0.8709, 0.3764, 0.3764], [0.3764, 0.3764, 0.8709], [0.3764, 0.8709, 0.3764], [0.3764, 0.3764, 0.3764], [0.7500, 0.7500, 0.7500]],
  "total_energy_ry_per_atom": -0.1784,
  "formation_enthalpy_0k_mev_per_atom": 703,
  "sg": "F-43m",
  "dos_ef_per_ev_fu": 6.1
}



(17)
{
  "formula": "LiCaIr",
  "functional": "PBE-GGA",
  "state": "relaxed",
  "lattice": [[-3.2119, 0.0452, 3.2606], [-0.5883, -3.6607, 2.6839], [1.2169, 0.1754, 4.4089]],
  "species": ["Ca", "Ir", "Li"],
  "frac_coords": [[0.2500, 0.2500, 0.2500], [0.0000, 0.0000, 0.0000], [0.5000, 0.5000, 0.5000]],
  "total_energy_ry_per_atom": -0.2751,
  "formation_enthalpy_0k_mev_per_atom": 516,
  "sg": "F-43m",
  "dos_ef_per_ev_fu": 1.4
}



(18)
{
  "formula": "Li2Ca4Ir",
  "functional": "PBE-GGA",
  "state": "relaxed",
  "lattice": [[5.4851, 0.0000, 0.0000], [0.0000, 5.4851, 0.0000], [-2.7425, -2.7425, 8.1864]],
  "species": ["Ca", "Ca", "Ca", "Ca", "Ir", "Li", "Li"],
  "frac_coords": [[0.8300, 0.8300, 0.6599], [0.1700, 0.1700, 0.3401], [0.0000, 0.5000, 0.0000], [0.5000, 0.0000, 0.0000], [0.0000, 0.0000, 0.0000], [0.6242, 0.6242, 0.2484], [0.3758, 0.3758, 0.7516]],
  "total_energy_ry_per_atom": -0.2202,
  "formation_enthalpy_0k_mev_per_atom": -40,
  "sg": "I4/mmm",
  "dos_ef_per_ev_fu": 4.3
}



(19)
{
  "formula": "LiCa6Ir2",
  "functional": "PBE-GGA",
  "state": "relaxed",
  "lattice": [[-2.7764, -9.1728, -1.5859], [5.0528, -6.9870, 1.8162], [-3.5162, -5.1551, 6.2216]],
  "species": ["Li", "Li", "Ca", "Ca", "Ca", "Ca", "Ca", "Ca", "Ca", "Ca", "Ca", "Ca", "Ca", "Ca", "Ir", "Ir", "Ir", "Ir"],
  "frac_coords": [[0.5000, 0.5000, 0.5000], [0.0000, 0.0000, 0.0000], [0.2865, 0.1785, 0.8215], [0.7135, 0.8215, 0.1785], [0.7135, 0.1785, 0.8215], [0.2865, 0.8215, 0.1785], [0.7553, 0.4552, 0.0342], [0.2447, 0.5448, 0.9658], [0.7553, 0.0342, 0.4552], [0.2447, 0.9658, 0.5448], [0.9867, 0.3412, 0.3412], [0.0133, 0.6588, 0.6588], [0.3309, 0.3412, 0.3412], [0.6691, 0.6588, 0.6588], [0.3793, 0.1207, 0.1207], [0.6207, 0.8793, 0.8793], [0.0000, 0.3005, 0.6995], [0.0000, 0.6995, 0.3005]],
  "total_energy_ry_per_atom": -0.2771,
  "formation_enthalpy_0k_mev_per_atom": -254,
  "sg": "Immm",
  "dos_ef_per_ev_fu": 5.6
}



(20)
{
  "formula": "Li2CaIr",
  "functional": "PBE-GGA",
  "state": "relaxed",
  "lattice": [[4.1150, -0.0065, 0.0000], [0.0049, 4.1150, 0.0000], [0.0000, 0.0000, 4.2796]],
  "species": ["Ca", "Ir", "Li", "Li"],
  "frac_coords": [[0.5000, 0.0000, 0.5000], [0.0000, 0.5000, 0.5000], [0.0000, 0.0000, 0.0000], [0.5000, 0.5000, 0.0000]],
  "total_energy_ry_per_atom": -0.2683,
  "formation_enthalpy_0k_mev_per_atom": 22,
  "sg": "P4/mmm",
  "dos_ef_per_ev_fu": 2.0
}



(21)
{
  "formula": "Li2CaIr",
  "functional": "PBE-GGA",
  "state": "relaxed",
  "lattice": [[5.6438, 0.0016, 0.0303], [4.7105, 3.1085, 0.0303], [1.7805, 0.5348, 4.4186]],
  "species": ["Ca", "Ir", "Li", "Li"],
  "frac_coords": [[0.7500, 0.7500, 0.7500], [0.2500, 0.2500, 0.2500], [0.9573, 0.9573, 0.0520], [0.5427, 0.5427, 0.4480]],
  "total_energy_ry_per_atom": -0.2752,
  "formation_enthalpy_0k_mev_per_atom": -72,
  "sg": "C2/m",
  "dos_ef_per_ev_fu": 1.5
}



(22)
{
  "formula": "LiCaIr",
  "functional": "PBE-GGA",
  "state": "relaxed",
  "lattice": [[3.1057, 0.0000, 0.0000], [-1.5528, 2.6896, 0.0000], [0.0000, 0.0000, 7.1920]],
  "species": ["Ca", "Ir", "Li"],
  "frac_coords": [[0.0000, 0.0000, 0.0435], [0.6667, 0.3333, 0.3438], [0.3333, 0.6667, 0.6127]],
  "total_energy_ry_per_atom": -0.2978,
  "formation_enthalpy_0k_mev_per_atom": 207,
  "sg": "P3m1",
  "dos_ef_per_ev_fu": 0.5
}



(23)
{
  "formula": "LiCaIr",
  "functional": "PBE-GGA",
  "state": "relaxed",
  "lattice": [[-2.2401, 3.8982, -0.7425], [-4.0733, 0.6891, 1.9233], [-0.4474, 3.0462, 3.3594]],
  "species": ["Ca", "Ir", "Li"],
  "frac_coords": [[0.5000, 0.5000, 0.5000], [0.2500, 0.2500, 0.2500], [0.0000, 0.0000, 0.0000]],
  "total_energy_ry_per_atom": -0.3047,
  "formation_enthalpy_0k_mev_per_atom": 113,
  "sg": "F-43m"
}



(24)
{
  "formula": "LiCaIr",
  "functional": "PBE-GGA",
  "state": "relaxed",
  "lattice": [[-2.9474, -2.7876, -3.4860], [-1.5884, -5.0822, 0.5084], [0.2661, 4.6713, 2.5919]],
  "species": ["Ca", "Ir", "Li"],
  "frac_coords": [[0.9892, 0.9892, 0.0000], [0.3067, 0.3067, 0.0000], [0.7041, 0.7041, 0.0000]],
  "total_energy_ry_per_atom": -0.3196,
  "formation_enthalpy_0k_mev_per_atom": -90,
  "sg": "I4mm",
  "dos_ef_per_ev_fu": 1.1
}



(25)
{
  "formula": "Li4CaIr",
  "functional": "PBE-GGA",
  "state": "relaxed",
  "lattice": [[2.3865, -4.1840, 1.9988], [-2.6343, -4.4584, 0.6159], [1.0626, -4.0984, -3.0447]],
  "species": ["Li", "Li", "Li", "Li", "Ca", "Ir"],
  "frac_coords": [[0.8869, 0.3710, 0.3710], [0.3710, 0.3710, 0.8869], [0.3710, 0.8869, 0.3710], [0.3710, 0.3710, 0.3710], [0.7500, 0.7500, 0.7500], [0.0000, 0.0000, 0.0000]],
  "total_energy_ry_per_atom": -0.2245,
  "formation_enthalpy_0k_mev_per_atom": 32,
  "sg": "F-43m",
  "dos_ef_per_ev_fu": 2.4
}



(26)
{
  "formula": "LiCaIr3",
  "functional": "PBE-GGA",
  "state": "relaxed",
  "lattice": [[-1.0164, -2.6630, -3.2243], [4.1724, -0.4236, -0.9655], [0.2801, -3.3540, 2.6818]],
  "species": ["Ca", "Ir", "Ir", "Ir", "Li"],
  "frac_coords": [[0.5000, 0.5000, 0.5000], [0.0000, 0.5000, 0.0000], [0.0000, 0.0000, 0.5000], [0.5000, 0.0000, 0.0000], [0.0000, 0.0000, 0.0000]],
  "total_energy_ry_per_atom": -0.4113,
  "formation_enthalpy_0k_mev_per_atom": 503,
  "sg": "Pm-3m",
  "dos_ef_per_ev_fu": 4.6
}



(27)
{
  "formula": "Li2CaIr",
  "functional": "PBE-GGA",
  "state": "relaxed",
  "lattice": [[4.2203, 0.0000, 0.0000], [0.0000, 3.2334, 0.0514], [0.0000, 1.4684, 5.8920]],
  "species": ["Ca", "Ir", "Li", "Li"],
  "frac_coords": [[0.0000, 0.5203, 0.5721], [0.5000, 0.9195, 0.7798], [0.0000, 0.8130, 0.0093], [0.5000, 0.2472, 0.1388]],
  "total_energy_ry_per_atom": -0.2715,
  "formation_enthalpy_0k_mev_per_atom": -22,
  "sg": "Pm",
  "dos_ef_per_ev_fu": 0.9
}



(28)
{
  "formula": "LiCaIr",
  "functional": "PBE-GGA",
  "state": "relaxed",
  "lattice": [[4.5825, 0.0000, 2.5730], [1.5045, 4.5126, 2.6877], [-0.0505, 0.2606, 5.4572]],
  "species": ["Li", "Li", "Ca", "Ca", "Ir", "Ir"],
  "frac_coords": [[0.5000, 0.5000, 0.0000], [0.5000, 0.0000, 0.5000], [0.8832, 0.3668, 0.3668], [0.1168, 0.6332, 0.6332], [0.0000, 0.0000, 0.0000], [0.5000, 0.0000, 0.0000]],
  "total_energy_ry_per_atom": -0.3331,
  "formation_enthalpy_0k_mev_per_atom": -274,
  "sg": "Imma",
  "dos_ef_per_ev_fu": 2.3
}